Material: RbHg2RuBr8
Method: DFT, GGA-PBE
State: optimized geometry Values from VASP.

Energy = -31.34 eV per cell
Formation energy from raw total energies = -592 meV/atom

Geometry as Quantum ESPRESSO input:
```
&SYSTEM
  ibrav = 0, nat = 12, ntyp = 4
/
ATOMIC_SPECIES
Rb 85.47 Rb.upf
Hg 200.59 Hg.upf
Ru 101.07 Ru.upf
Br 79.90 Br.upf
CELL_PARAMETERS angstrom
6.8970 0.0000 0.0000
0.6785 7.3951 0.0000
0.8493 3.0802 8.5630
ATOMIC_POSITIONS crystal
Rb 0.0000 0.0000 0.0000
Hg 0.4757 0.4992 0.2253
Hg 0.5243 0.5008 0.7747
Ru 0.0000 0.5000 0.5000
Br 0.1254 0.4739 0.7583
Br 0.2351 0.7516 0.3549
Br 0.2531 0.2529 0.4649
Br 0.4657 0.7776 0.9297
Br 0.5343 0.2224 0.0703
Br 0.7469 0.7471 0.5351
Br 0.7649 0.2484 0.6451
Br 0.8746 0.5261 0.2417
```